Record 1
Density functional theory data (GGA-PBE) for a geometry-optimized TaInAu structure.

Calculated values
* energy: -5.96 eV per atom
* total magnetization: 0.00 μB/f.u.
* density: 14.32 g/cm3
* V: 229 Å³/cell
* energy relative to the elements: -3 meV/atom

Cell and atoms, written as CIF:
```
data_TaInAu
_cell_length_a 4.023
_cell_length_b 13.628
_cell_length_c 4.169
_cell_angle_alpha 90.00
_cell_angle_beta 90.00
_cell_angle_gamma 90.00
_symmetry_space_group_name_H-M 'C m c m'
_symmetry_Int_Tables_number 63
_symmetry_space_group_name_Hall '-C 2c 2'
loop_
_atom_site_label
_atom_site_type_symbol
_atom_site_fract_x
_atom_site_fract_y
_atom_site_fract_z
Ta1 Ta 0.000 0.250 0.250
In1 In 0.000 0.084 0.750
Au1 Au 0.000 0.409 0.750
```

---

Record 2
Density functional theory data (GGA-PBE) for a geometry-optimized Ta2InAu structure.

Calculated values
* energy: -7.17 eV per atom
* total magnetization: 0.00 μB/f.u.
* density: 14.82 g/cm3
* V: 75 Å³/cell
* energy relative to the elements: 259 meV/atom

Cell and atoms, written as CIF:
```
data_Ta2InAu
_cell_length_a 3.652
_cell_length_b 3.652
_cell_length_c 5.661
_cell_angle_alpha 90.00
_cell_angle_beta 90.00
_cell_angle_gamma 90.00
_symmetry_space_group_name_H-M 'P 4/m m m'
_symmetry_Int_Tables_number 123
_symmetry_space_group_name_Hall '-P 4 2'
loop_
_atom_site_label
_atom_site_type_symbol
_atom_site_fract_x
_atom_site_fract_y
_atom_site_fract_z
Ta1 Ta 0.000 0.000 0.243
In1 In 0.500 0.500 0.500
Au1 Au 0.500 0.500 0.000
```

---

Record 3
Density functional theory data (GGA-PBE) for a geometry-optimized Ta2InAu structure.

Calculated values
* energy: -7.26 eV per atom
* total magnetization: 0.00 μB/f.u.
* density: 14.51 g/cm3
* V: 231 Å³/cell
* energy relative to the elements: 171 meV/atom

Cell and atoms, written as CIF:
```
data_Ta2InAu
_cell_length_a 3.0185
_cell_length_b 3.0185
_cell_length_c 29.3180
_cell_angle_alpha 90.00
_cell_angle_beta 90.00
_cell_angle_gamma 120.00
_symmetry_space_group_name_H-M 'R 3 m'
_symmetry_Int_Tables_number 160
_symmetry_space_group_name_Hall 'R 3 -2"'
loop_
_atom_site_label
_atom_site_type_symbol
_atom_site_fract_x
_atom_site_fract_y
_atom_site_fract_z
Ta1 Ta 0.0000 0.0000 0.0000
Ta2 Ta 0.0000 0.0000 0.2489
In1 In 0.0000 0.0000 0.4966
Au1 Au 0.0000 0.0000 0.7450
```

---

Record 4
Density functional theory data (GGA-PBE) for a geometry-optimized Ta2InAu structure.

Calculated values
* energy: -7.31 eV per atom
* total magnetization: 0.00 μB/f.u.
* density: 14.90 g/cm3
* V: 75 Å³/cell
* energy relative to the elements: 122 meV/atom

Cell and atoms, written as CIF:
```
data_Ta2InAu
_cell_length_a 2.964
_cell_length_b 4.753
_cell_length_c 5.339
_cell_angle_alpha 90.00
_cell_angle_beta 93.69
_cell_angle_gamma 90.00
_symmetry_space_group_name_H-M 'P 1 m 1'
_symmetry_Int_Tables_number 6
loop_
_symmetry_equiv_pos_as_xyz
'x,y,z'
'x,-y,z'
loop_
_atom_site_label
_atom_site_type_symbol
_atom_site_fract_x
_atom_site_fract_y
_atom_site_fract_z
Ta1 Ta 0.000 0.000 0.000
Ta2 Ta 0.159 0.500 0.720
In1 In 0.571 0.000 0.508
Au1 Au 0.594 0.500 0.214
```

---

Record 5
Density functional theory data (GGA-PBE) for a geometry-optimized Ta2InAu structure.

Calculated values
* energy: -7.24 eV per atom
* total magnetization: 0.00 μB/f.u.
* density: 14.75 g/cm3
* V: 228 Å³/cell
* energy relative to the elements: 189 meV/atom

Cell and atoms, written as CIF:
```
data_Ta2InAu
_cell_length_a 2.9937
_cell_length_b 2.9937
_cell_length_c 29.3240
_cell_angle_alpha 90.00
_cell_angle_beta 90.00
_cell_angle_gamma 120.00
_symmetry_space_group_name_H-M 'R -3 m'
_symmetry_Int_Tables_number 166
_symmetry_space_group_name_Hall '-R 3 2"'
loop_
_atom_site_label
_atom_site_type_symbol
_atom_site_fract_x
_atom_site_fract_y
_atom_site_fract_z
Ta1 Ta 0.0000 0.0000 0.2474
In1 In 0.0000 0.0000 0.0000
Au1 Au 0.0000 0.0000 0.5000
```

---

Record 6
Density functional theory data (GGA-PBE) for a geometry-optimized Ta2InAu4 structure.

Calculated values
* energy: -4.88 eV per atom
* total magnetization: 0.00 μB/f.u.
* density: 11.87 g/cm3
* V: 354 Å³/cell
* energy relative to the elements: 771 meV/atom

Cell and atoms, written as CIF:
```
data_Ta2InAu4
_cell_length_a 5.180
_cell_length_b 5.180
_cell_length_c 13.190
_cell_angle_alpha 90.00
_cell_angle_beta 90.00
_cell_angle_gamma 90.00
_symmetry_space_group_name_H-M 'I 4/m m m'
_symmetry_Int_Tables_number 139
_symmetry_space_group_name_Hall '-I 4 2'
loop_
_atom_site_label
_atom_site_type_symbol
_atom_site_fract_x
_atom_site_fract_y
_atom_site_fract_z
Ta1 Ta 0.000 0.000 0.093
In1 In 0.000 0.000 0.500
Au1 Au 0.000 0.000 0.293
Au2 Au 0.000 0.500 0.000
```

---

Record 7
Density functional theory data (GGA-PBE) for a geometry-optimized Ta2InAu structure.

Calculated values
* energy: -7.05 eV per atom
* total magnetization: 0.00 μB/f.u.
* density: 14.66 g/cm3
* V: 305 Å³/cell
* energy relative to the elements: 384 meV/atom

Cell and atoms, written as CIF:
```
data_Ta2InAu
_cell_length_a 6.733
_cell_length_b 6.733
_cell_length_c 6.733
_cell_angle_alpha 90.00
_cell_angle_beta 90.00
_cell_angle_gamma 90.00
_symmetry_space_group_name_H-M 'F -4 3 m'
_symmetry_Int_Tables_number 216
_symmetry_space_group_name_Hall 'F -4 2 3'
loop_
_atom_site_label
_atom_site_type_symbol
_atom_site_fract_x
_atom_site_fract_y
_atom_site_fract_z
Ta1 Ta 0.000 0.000 0.000
Ta2 Ta 0.250 0.250 0.250
In1 In 0.250 0.250 0.750
Au1 Au 0.000 0.000 0.500
```

---

Record 8
Density functional theory data (GGA-PBE) for a geometry-optimized Ta2InAu structure.

Calculated values
* energy: -7.31 eV per atom
* total magnetization: 0.00 μB/f.u.
* density: 14.81 g/cm3
* V: 151 Å³/cell
* energy relative to the elements: 117 meV/atom

Cell and atoms, written as CIF:
```
data_Ta2InAu
_cell_length_a 10.120
_cell_length_b 3.067
_cell_length_c 4.976
_cell_angle_alpha 90.00
_cell_angle_beta 101.98
_cell_angle_gamma 90.00
_symmetry_space_group_name_H-M 'C 1 2/m 1'
_symmetry_Int_Tables_number 12
loop_
_symmetry_equiv_pos_as_xyz
'x,y,z'
'-x,-y,-z'
'-x,y,-z'
'x,-y,z'
'x+1/2,y+1/2,z'
'-x+1/2,-y+1/2,-z'
'-x+1/2,y+1/2,-z'
'x+1/2,-y+1/2,z'
loop_
_atom_site_label
_atom_site_type_symbol
_atom_site_fract_x
_atom_site_fract_y
_atom_site_fract_z
Ta1 Ta 0.247 0.000 0.240
In1 In 0.000 0.000 0.500
Au1 Au 0.000 0.500 0.000
```

---

Record 9
Density functional theory data (GGA-PBE) for a geometry-optimized TaInAu structure.

Calculated values
* energy: -5.82 eV per atom
* total magnetization: 0.00 μB/f.u.
* density: 13.98 g/cm3
* V: 59 Å³/cell
* energy relative to the elements: 134 meV/atom

Cell and atoms, written as CIF:
```
data_TaInAu
_cell_length_a 3.0634
_cell_length_b 3.0634
_cell_length_c 7.2035
_cell_angle_alpha 90.00
_cell_angle_beta 90.00
_cell_angle_gamma 120.00
_symmetry_space_group_name_H-M 'P 3 m 1'
_symmetry_Int_Tables_number 156
loop_
_symmetry_equiv_pos_as_xyz
'x,y,z'
'-y,x-y,z'
'-x+y,-x,z'
'-y,-x,z'
'-x+y,y,z'
'x,x-y,z'
loop_
_atom_site_label
_atom_site_type_symbol
_atom_site_fract_x
_atom_site_fract_y
_atom_site_fract_z
Ta1 Ta 0.0000 0.0000 0.0000
In1 In 0.6667 0.3333 0.6550
Au1 Au 0.3333 0.6667 0.3122
```

---

Record 10
Density functional theory data (GGA-PBE) for a geometry-optimized TaInAu3 structure.

Calculated values
* energy: -4.18 eV per atom
* total magnetization: 0.00 μB/f.u.
* density: 10.50 g/cm3
* V: 140 Å³/cell
* energy relative to the lowest polymorph listed for this composition: 0.000 eV/atom
* energy relative to the elements: 709 meV/atom

Cell and atoms, written as CIF:
```
data_TaInAu3
_cell_length_a 5.195
_cell_length_b 5.195
_cell_length_c 5.195
_cell_angle_alpha 90.00
_cell_angle_beta 90.00
_cell_angle_gamma 90.00
_symmetry_space_group_name_H-M 'P m -3 m'
_symmetry_Int_Tables_number 221
_symmetry_space_group_name_Hall '-P 4 2 3'
loop_
_atom_site_label
_atom_site_type_symbol
_atom_site_fract_x
_atom_site_fract_y
_atom_site_fract_z
Ta1 Ta 0.000 0.000 0.000
In1 In 0.500 0.500 0.500
Au1 Au 0.000 0.000 0.500
```

---

Record 11
Density functional theory data (GGA-PBE) for a geometry-optimized Ta2InAu structure.

Calculated values
* energy: -7.33 eV per atom
* total magnetization: 0.00 μB/f.u.
* density: 15.06 g/cm3
* V: 149 Å³/cell
* energy relative to the elements: 96 meV/atom

Cell and atoms, written as CIF:
```
data_Ta2InAu
_cell_length_a 5.710
_cell_length_b 8.849
_cell_length_c 2.941
_cell_angle_alpha 90.00
_cell_angle_beta 90.00
_cell_angle_gamma 90.00
_symmetry_space_group_name_H-M 'C m m m'
_symmetry_Int_Tables_number 65
_symmetry_space_group_name_Hall '-C 2 2'
loop_
_atom_site_label
_atom_site_type_symbol
_atom_site_fract_x
_atom_site_fract_y
_atom_site_fract_z
Ta1 Ta 0.250 0.250 0.000
In1 In 0.000 0.000 0.500
Au1 Au 0.000 0.500 0.500
```

---

Record 12
Density functional theory data (GGA-PBE) for a geometry-optimized Ta2InAu structure.

Calculated values
* energy: -7.28 eV per atom
* total magnetization: 0.00 μB/f.u.
* density: 14.70 g/cm3
* V: 152 Å³/cell
* energy relative to the elements: 146 meV/atom

Cell and atoms, written as CIF:
```
data_Ta2InAu
_cell_length_a 10.029
_cell_length_b 2.977
_cell_length_c 5.235
_cell_angle_alpha 90.00
_cell_angle_beta 103.12
_cell_angle_gamma 90.00
_symmetry_space_group_name_H-M 'C 1 m 1'
_symmetry_Int_Tables_number 8
loop_
_symmetry_equiv_pos_as_xyz
'x,y,z'
'x,-y,z'
'x+1/2,y+1/2,z'
'x+1/2,-y+1/2,z'
loop_
_atom_site_label
_atom_site_type_symbol
_atom_site_fract_x
_atom_site_fract_y
_atom_site_fract_z
Ta1 Ta 0.000 0.000 0.000
Ta2 Ta 0.236 0.500 0.203
In1 In 0.234 0.000 0.708
Au1 Au 0.479 0.000 0.477
```

---

Record 13
Density functional theory data (GGA-PBE) for a geometry-optimized Ta2InAu structure.

Calculated values
* energy: -7.35 eV per atom
* total magnetization: 0.00 μB/f.u.
* density: 15.08 g/cm3
* V: 74 Å³/cell
* energy relative to the elements: 82 meV/atom

Cell and atoms, written as CIF:
```
data_Ta2InAu
_cell_length_a 2.935
_cell_length_b 4.425
_cell_length_c 5.714
_cell_angle_alpha 90.00
_cell_angle_beta 90.06
_cell_angle_gamma 90.00
_symmetry_space_group_name_H-M 'P 1 2/m 1'
_symmetry_Int_Tables_number 10
loop_
_symmetry_equiv_pos_as_xyz
'x,y,z'
'-x,-y,-z'
'-x,y,-z'
'x,-y,z'
loop_
_atom_site_label
_atom_site_type_symbol
_atom_site_fract_x
_atom_site_fract_y
_atom_site_fract_z
Ta1 Ta 0.004 0.000 0.252
In1 In 0.500 0.500 0.000
Au1 Au 0.500 0.500 0.500
```